Entry from the Alexandria database: a relaxed structure of TlSnHgAu (PBE).

a b c (Å): 3.510 3.511 9.794
angles (deg): 89.13 89.30 60.32
Space group P1 (No. 1)
Unique sites:
1 Tl 0.000 0.000 0.000 x1
2 Sn 0.994 0.985 0.444 x1
3 Hg 0.332 0.330 0.721 x1
4 Au 0.331 0.326 0.236 x1

Calculated values
Polymorph energy (0 for the lowest one) in meV/atom: 0.0
V in Å³/atom: 26.21


Entry from the Alexandria database: a relaxed structure of TmSnHgAu (PBE).

a b c (Å): 7.142 7.142 7.142
angles (deg): 90.00 90.00 90.00
Space group F-43m (No. 216)
Unique sites:
1 Tm 0.000 0.000 0.000 x4
2 Sn 0.000 0.000 0.500 x4
3 Hg 0.250 0.250 0.750 x4
4 Au 0.250 0.250 0.250 x4

Calculated values
Energy in eV/atom: -3.4746
V in Å³/atom: 22.77


Entry from the Alexandria database: a relaxed structure of USnHgAu (PBE).

a b c (Å): 7.214 7.214 7.214
angles (deg): 90.00 90.00 90.00
Space group F-43m (No. 216)
Unique sites:
1 U 0.000 0.000 0.000 x4
2 Sn 0.000 0.000 0.500 x4
3 Hg 0.250 0.250 0.250 x4
4 Au 0.250 0.250 0.750 x4

Calculated values
Energy in eV/atom: -4.7428
V in Å³/atom: 23.46


Entry from the Alexandria database: a relaxed structure of YSnHgAu (PBE).

a b c (Å): 7.200 7.200 7.200
angles (deg): 90.00 90.00 90.00
Space group F-43m (No. 216)
Unique sites:
1 Y 0.000 0.000 0.000 x4
2 Sn 0.000 0.000 0.500 x4
3 Hg 0.250 0.250 0.750 x4
4 Au 0.250 0.250 0.250 x4

Calculated values
Energy in eV/atom: -4.0127
V in Å³/atom: 23.33


Entry from the Alexandria database: a relaxed structure of SrHg2Au (PBE).

a b c (Å): 3.961 3.961 6.844
angles (deg): 90.00 90.00 90.00
Space group P4mm (No. 99)
Unique sites:
1 Sr 0.000 0.000 0.000 x1
2 Hg 0.000 0.000 0.479 x1
3 Hg 0.500 0.500 0.703 x1
4 Au 0.500 0.500 0.240 x1

Calculated values
Energy in eV/atom: -1.7920
V in Å³/atom: 26.84


Entry from the Alexandria database: a relaxed structure of SrHg3Au (PBE).

a b c (Å): 6.444 13.217 6.352
angles (deg): 90.00 90.00 90.00
Space group Cmcm (No. 63)
Unique sites:
1 Sr 0.000 0.250 0.250 x4
2 Hg 0.000 0.144 0.750 x4
3 Hg 0.240 0.500 0.000 x8
4 Au 0.000 0.352 0.750 x4

Calculated values
Polymorph energy (0 for the lowest one) in meV/atom: 35.8
V in Å³/atom: 27.05


Entry from the Alexandria database: a relaxed structure of SrHg2Au (PBE).

a b c (Å): 7.420 7.420 7.420
angles (deg): 90.00 90.00 90.00
Space group Fm-3m (No. 225)
Unique sites:
1 Sr 0.000 0.000 0.000 x4
2 Hg 0.250 0.250 0.250 x8
3 Au 0.000 0.000 0.500 x4

Calculated values
Energy in eV/atom: -1.7879
V in Å³/atom: 25.53


Entry from the Alexandria database: a relaxed structure of SrHgAu (PBE).

a b c (Å): 11.318 4.832 7.729
angles (deg): 90.00 129.21 90.00
Space group C2/m (No. 12)
Unique sites:
1 Sr 0.048 0.000 0.302 x4
2 Hg 0.169 0.500 0.105 x4
3 Au 0.156 0.500 0.690 x4

Calculated values
Energy in eV/atom: -2.3714
V in Å³/atom: 27.29